Below is an optimized crystal structure of NdSnH, with properties calculated at the PBE-GGA level.

Values from the calculation:
VASP energy (eV/atom): -4.70
Relative energy among the computed polymorphs (eV per formula unit): 0.00

```
NdSnH
1.0
2.1660 -6.2370 0.0000
2.1660 6.2370 0.0000
0.0000 0.0000 4.4209
Nd Sn H
2 2 2
Cartesian
2.1660 4.2833 3.3157
2.1660 -4.2833 1.1052
2.1660 0.9019 3.3157
2.1660 -0.9019 1.1052
2.1660 3.0616 1.1052
2.1660 -3.0616 3.3157
```

Below is an optimized crystal structure of Cd12BiPb16, with properties calculated at the PBE-GGA level.

Values from the calculation:
VASP energy (eV/atom): -2.52
ΔH_f (0 K) (eV/atom): 0.04

```
Cd12BiPb16
1.0
5.9400 -8.2729 0.0000
5.9400 8.2729 0.0000
-5.8816 0.0000 8.3486
Cd Bi Pb
12 1 16
Cartesian
0.0000 0.0000 0.0000
-3.6611 1.5544 6.8627
-1.4639 3.1339 8.2709
0.1040 0.0000 3.0692
-3.6611 -1.5544 6.8627
4.4461 3.0907 3.0072
2.3205 1.5536 4.5831
6.6179 1.5427 1.4300
-1.4639 -3.1339 8.2709
2.3205 -1.5536 4.5831
6.6179 -1.5427 1.4300
4.4461 -3.0907 3.0072
8.8241 0.0000 4.0159
1.2936 2.8083 1.5900
3.8932 6.0373 1.4994
-0.8456 2.6188 4.8900
1.7061 4.9799 4.1183
-0.6075 0.0000 7.0179
3.3238 0.0000 1.4984
1.7309 3.4189 7.2448
1.2936 -2.8083 1.5900
-0.8456 -2.6188 4.8900
5.0365 2.4937 6.4188
2.7419 0.0000 7.4696
1.7061 -4.9799 4.1183
5.5057 0.0000 4.1827
3.8932 -6.0373 1.4994
1.7309 -3.4189 7.2448
5.0365 -2.4937 6.4188
```

Below is an optimized crystal structure of Ce2YEr3Sb6, with properties calculated at the PBE-GGA level.

Values from the calculation:
Energy relative to the elements, uncorrected (eV per atom): -1.0885
VASP energy (eV/atom): -5.82

```
Ce2YEr3Sb6
1.0
9.5970 -2.2059 0.0000
9.5970 2.2059 0.0000
-2.0196 0.0000 8.5790
Ce Y Er Sb
2 1 3 6
Cartesian
2.5107 0.0000 2.8450
14.6637 0.0000 5.7340
9.5970 0.0000 0.0000
1.5206 0.0000 7.1549
8.5872 0.0000 4.2895
15.6538 0.0000 1.4241
-1.4696 0.0000 6.4270
4.5290 0.0000 7.9139
5.5970 0.0000 3.5354
11.5774 0.0000 5.0436
12.6454 0.0000 0.6651
18.6440 0.0000 2.1520
```

Below is an optimized crystal structure of Hf2Te7Au2, with properties calculated at the PBE-GGA level.

Values from the calculation:
Energy relative to the elements, uncorrected (eV per atom): -0.3476
VASP energy (eV/atom): -4.75

```
Hf2Te7Au2
1.0
3.5654 -6.3720 0.0000
3.5654 6.3720 0.0000
-1.7309 0.0000 7.6423
Hf Te Au
2 7 2
Cartesian
3.5654 3.9557 0.0000
3.5654 -3.9557 0.0000
0.3284 2.5962 5.6234
1.2819 0.0000 1.1231
0.3284 -2.5962 5.6234
2.7000 0.0000 3.8211
5.0715 2.5962 2.0189
4.1180 0.0000 6.5192
5.0715 -2.5962 2.0189
1.0144 0.0000 6.2350
4.3856 0.0000 1.4073
```

Below is an optimized crystal structure of CuIr3W, with properties calculated at the PBE-GGA level.

Values from the calculation:
VASP energy (eV/atom): -6.97
ΔH_f (0 K) (eV/atom): 1.75

```
CuIr3W
1.0
4.7353 0.0000 0.0000
0.0000 4.7353 0.0000
0.0000 0.0000 4.7353
Cu Ir W
1 3 1
Cartesian
0.0000 0.0000 0.0000
0.0000 2.3677 2.3677
2.3677 0.0000 2.3677
2.3677 2.3677 0.0000
2.3677 2.3677 2.3677
```

Below is an optimized crystal structure of Hf4MnIn, with properties calculated at the PBE-GGA level.

Values from the calculation:
VASP energy (eV/atom): -8.70
ΔH_f (0 K) (eV/atom): -0.08

```
Hf4MnIn
1.0
4.0531 -6.0386 0.0000
4.0531 6.0386 0.0000
-1.8844 0.0000 5.2074
Hf Mn In
8 2 2
Cartesian
1.3892 3.9885 4.8983
1.0048 0.9775 3.3073
3.8904 3.9885 2.9128
1.9470 -0.9775 0.7036
4.2748 0.9775 4.5038
2.3313 -3.9885 2.2946
5.2169 -0.9775 1.9001
4.8326 -3.9885 0.3091
3.5820 6.0352 1.3019
2.6398 -6.0352 3.9056
3.5820 1.4582 1.3019
2.6398 -1.4582 3.9056
```

Below is an optimized crystal structure of NiHgBr, with properties calculated at the PBE-GGA level.

Values from the calculation:
Energy relative to the elements, uncorrected (eV per atom): 0.0069
VASP energy (eV/atom): -2.58
Relative energy among the computed polymorphs (eV per formula unit): 0.15

```
NiHgBr
1.0
3.7828 0.0000 0.0000
0.0000 4.6730 0.0000
-0.0093 0.0000 3.8517
Ni Hg Br
1 1 1
Cartesian
0.0000 0.0000 0.0000
1.8404 0.0000 1.9325
3.4431 2.3365 0.0423
```

Below is an optimized crystal structure of ZrScH2, with properties calculated at the PBE-GGA level.

Values from the calculation:
VASP energy (eV/atom): -5.77
Relative energy among the computed polymorphs (eV per formula unit): 0.04

```
ZrScH2
1.0
-2.3855 2.3855 4.6780
2.3855 -2.3855 4.6780
2.3855 2.3855 -4.6780
Zr Sc H
2 2 4
Cartesian
0.0000 0.0000 0.0000
0.0000 2.3855 2.3390
2.3855 0.0000 2.3390
0.0000 0.0000 4.6780
3.5782 1.1769 -1.1695
1.1769 1.1927 1.1695
-1.1927 1.2086 3.5085
1.2086 1.1927 5.8474
```

no.,density of states at the Fermi level (states/eV per cell),theoretical density (g cm⁻³)
1,1.13,7.34
2,15.53,9.86
3,14.60,7.32
4,3.54,7.86
5,3.04,12.89
6,12.35,11.51
7,1.94,8.27
8,7.55,4.31